(1)
First-principles (PBE-GGA) data for an optimized crystal structure of KRu2Cl8, as listed in Alexandria via LeMat-Bulk.

## Properties
Symmetry   No. 2
Uncorrected energy   -41.45 eV for the cell shown
D(E_F)   4.6 states/eV/cell
Formation energy (no corrections)   -61.7 kJ per mole of atoms

Cell lengths 4.9339, 8.0617, 8.1465 Å; angles 86.66, 81.80, 82.79 degrees
Element x y z (fractional)
K 0.0000 0.0000 0.0000
Ru 0.3040 0.3777 0.3787
Ru 0.6960 0.6223 0.6213
Cl 0.2106 0.5902 0.5895
Cl 0.2918 0.1761 0.5862
Cl 0.3036 0.5870 0.1788
Cl 0.4031 0.1749 0.1778
Cl 0.5969 0.8251 0.8222
Cl 0.6964 0.4130 0.8212
Cl 0.7082 0.8239 0.4138
Cl 0.7894 0.4098 0.4105



(2)
First-principles (PBE-GGA) data for an optimized crystal structure of AcTb3Ir8, as listed in Alexandria via LeMat-Bulk.

## Properties
Symmetry   No. 156
E_form   -0.703 eV/atom
Uncorrected energy   -97.32 eV for the cell shown
D(E_F)   3.9 states/eV/cell

Cell lengths 5.4225, 5.4225, 8.8409 Å; angles 90.00, 90.00, 120.00 degrees
Element x y z (fractional)
Ac 0.0000 0.0000 0.0000
Tb 0.0000 0.0000 0.3677
Tb 0.6667 0.3333 0.4995
Tb 0.6667 0.3333 0.8604
Ir 0.1645 0.3291 0.6778
Ir 0.1645 0.8355 0.6778
Ir 0.3333 0.6667 0.4328
Ir 0.3333 0.6667 0.9314
Ir 0.5033 0.0066 0.1889
Ir 0.5033 0.4967 0.1889
Ir 0.6709 0.8355 0.6778
Ir 0.9934 0.4967 0.1889



(3)
First-principles (PBE-GGA) data for an optimized crystal structure of Au2SeBr, as listed in Alexandria via LeMat-Bulk.

## Properties
Symmetry   No. 6
Uncorrected energy   -11.65 eV for the cell shown
D(E_F)   1.5 states/eV/cell
Formation energy (no corrections)   1.5 kJ per mole of atoms

Cell lengths 4.3749, 3.8901, 6.6778 Å; angles 90.00, 91.71, 90.00 degrees
Element x y z (fractional)
Au 0.0000 0.0000 0.0000
Au 0.3287 0.5000 0.8080
Se 0.6910 0.5000 0.1105
Br 0.2908 0.0000 0.5397



(4)
First-principles (PBE-GGA) data for an optimized crystal structure of SiRh2Se, as listed in Alexandria via LeMat-Bulk.

## Properties
Symmetry   No. 119
Uncorrected energy   -23.93 eV for the cell shown
D(E_F)   3.7 states/eV/cell
Formation energy (no corrections)   -7.7 kJ per mole of atoms

Cell lengths 5.1794, 5.1794, 5.1794 Å; angles 138.87, 138.87, 59.58 degrees
Element x y z (fractional)
Si 0.0000 0.0000 0.0000
Rh 0.2500 0.7500 0.5000
Rh 0.5000 0.5000 0.0000
Se 0.7500 0.2500 0.5000



(5)
First-principles (PBE-GGA) data for an optimized crystal structure of KZr4Au, as listed in Alexandria via LeMat-Bulk.

## Properties
Symmetry   No. 216
E_form   0.620 eV/atom
Uncorrected energy   -34.84 eV for the cell shown
D(E_F)   6.2 states/eV/cell

Cell lengths 5.9353, 5.9353, 5.9353 Å; angles 60.00, 60.00, 60.00 degrees
Element x y z (fractional)
K 0.0000 0.0000 0.0000
Zr 0.1308 0.6231 0.6231
Zr 0.6231 0.1308 0.6231
Zr 0.6231 0.6231 0.1308
Zr 0.6231 0.6231 0.6231
Au 0.2500 0.2500 0.2500



(6)
First-principles (PBE-GGA) data for an optimized crystal structure of CeSn4Pd2, as listed in Alexandria via LeMat-Bulk.

## Properties
Symmetry   No. 63
E_form   -0.559 eV/atom
Uncorrected energy   -72.48 eV for the cell shown
D(E_F)   18.1 states/eV/cell

Cell lengths 8.9053, 8.9053, 6.1038 Å; angles 90.00, 90.00, 41.98 degrees
Element x y z (fractional)
Ce 0.2312 0.7688 0.7500
Ce 0.7688 0.2312 0.2500
Sn 0.1497 0.4481 0.7500
Sn 0.1956 0.6321 0.2500
Sn 0.3679 0.8044 0.2500
Sn 0.4481 0.1497 0.2500
Sn 0.5519 0.8503 0.7500
Sn 0.6321 0.1956 0.7500
Sn 0.8044 0.3679 0.7500
Sn 0.8503 0.5519 0.2500
Pd 0.1693 0.1693 0.0000
Pd 0.1693 0.1693 0.5000
Pd 0.8307 0.8307 0.0000
Pd 0.8307 0.8307 0.5000